Compound: PuCrO6
Source: Alexandria via LeMat-Bulk
Functional: GGA+U
Structure: relaxed

Values from the calculation:
* E: -65.5 eV per formula unit
* space-group type: P1, No. 1
* calculated density: 4.7 Mg/m³

Unit cell a=6.2198 b=5.0058 c=4.8732 alpha=90.74 beta=67.16 gamma=90.60
Last column: magnetic moment on the atom in μB.
Fractional coordinates of all 8 atoms:
Cr: 0.5203 0.0207 0.9164  0.11
O: 0.9827 0.7510 0.4179  -0.11
O: 0.3295 0.8268 0.8449  -0.04
O: 0.6861 0.1850 0.6058  -0.04
O: 0.6848 0.8550 0.0618  -0.04
O: 0.9829 0.2910 0.9549  -0.11
O: 0.3336 0.2156 0.1767  -0.04
Pu: 0.9801 0.0209 0.1876  2.29